Crystalline NbVSbRu at its relaxed geometry. Source: the Alexandria database, functional PBE-GGA.

For the formation energy from raw total energies, the calculation gives -0.06 eV per atom. The calculation puts the density of states at the Fermi level at 4.12 states/eV per cell. As for the crystal system: cubic.

a = 4.525 Å, b = 4.525 Å, c = 4.525 Å
α = 60.00°, β = 60.00°, γ = 60.00°
Fractional positions:
Nb  0.000  0.000  0.000
V  0.250  0.250  0.250
Sb  0.500  0.500  0.500
Ru  0.750  0.750  0.750

Crystalline Y2NbSbRu at its relaxed geometry. Source: the Alexandria database, functional PBE-GGA.

For the formation energy from raw total energies, the calculation gives 0.50 eV per atom. The calculation puts the density of states at the Fermi level at 4.84 states/eV per cell. As for the crystal system: tetragonal.

a = 5.484 Å, b = 5.484 Å, c = 4.626 Å
α = 90.00°, β = 90.00°, γ = 90.00°
Fractional positions:
Y  0.000  0.500  0.000
Y  0.500  0.000  0.000
Nb  0.000  0.000  0.000
Sb  0.500  0.500  0.500
Ru  0.000  0.000  0.500

Crystalline Sc3NbRu at its relaxed geometry. Source: the Alexandria database, functional PBE-GGA.

The calculation puts the density of states at the Fermi level at 4.70 states/eV per cell. As for the crystal system: cubic. As for the energy relative to the lowest polymorph listed for this composition: 0.00 kJ per mole of atoms. For the energy relative to the elements, the calculation gives 0.36 eV per atom.

a = 4.918 Å, b = 4.918 Å, c = 4.918 Å
α = 90.00°, β = 90.00°, γ = 90.00°
Fractional positions:
Sc  0.000  0.000  0.500
Sc  0.000  0.500  0.000
Sc  0.500  0.000  0.000
Nb  0.500  0.500  0.500
Ru  0.000  0.000  0.000

Crystalline ScNbRu4 at its relaxed geometry. Source: the Alexandria database, functional PBE-GGA.

The calculation puts the density of states at the Fermi level at 8.30 states/eV per cell. As for the crystal system: cubic. For the energy relative to the elements, the calculation gives -0.18 eV per atom.

a = 5.150 Å, b = 5.150 Å, c = 5.150 Å
α = 60.00°, β = 60.00°, γ = 60.00°
Fractional positions:
Sc  0.000  0.000  0.000
Nb  0.750  0.750  0.750
Ru  0.375  0.375  0.375
Ru  0.375  0.375  0.876
Ru  0.375  0.876  0.375
Ru  0.876  0.375  0.375

no.,total magnetization (Bohr magnetons per cell),volume (Å³ per atom)
1,1.010,16.37
2,0.396,27.83
3,2.172,23.78
4,0.000,16.10